The following is a PBE calculation of an optimized crystal structure of Na3Pu3ReN8, from the Alexandria database.

Computed properties:
Total DFT energy (no corrections) (eV/atom): -8.98
E_form (uncorrected) (eV/atom): -0.578
Fermi-level density of states (states/eV/atom): 1.088

abc: 6.672 6.672 6.890
angles: 118.96 90.00 120.00
Site moments in Bohr magnetons follow the coordinates.
Sites, in units of the cell vectors:
Na 0.000 0.000 0.000  0.00
Na 0.000 0.500 0.000  0.00
Na 0.500 0.500 0.000  0.00
Pu 0.500 0.000 0.500  3.71
Pu 0.500 0.500 0.500  3.71
Pu 0.000 0.500 0.500  3.71
Re 0.000 0.000 0.500  0.39
N 0.270 0.540 0.310  -0.22
N 0.730 0.460 0.690  -0.22
N 0.786 0.572 0.320  -0.15
N 0.214 0.428 0.680  -0.15
N 0.786 0.034 0.319  -0.15
N 0.214 0.966 0.681  -0.15
N 0.248 0.034 0.319  -0.15
N 0.752 0.966 0.681  -0.15

***

The following is a PBE calculation of an optimized crystal structure of Na2Pu2ReN6, from the Alexandria database.

Computed properties:
Total DFT energy (no corrections) (eV/atom): -9.01
E_form (uncorrected) (eV/atom): -0.496
Fermi-level density of states (states/eV/atom): 0.918

abc: 5.647 5.647 6.034
angles: 98.38 98.38 118.67
Site moments in Bohr magnetons follow the coordinates.
Sites, in units of the cell vectors:
Na 0.840 0.160 0.000  0.00
Na 0.160 0.840 0.000  0.00
Pu 0.336 0.664 0.500  3.69
Pu 0.664 0.336 0.500  3.69
Re 0.000 0.000 0.500  0.48
N 0.759 0.759 0.687  -0.12
N 0.046 0.368 0.678  -0.15
N 0.241 0.241 0.313  -0.12
N 0.368 0.046 0.678  -0.15
N 0.954 0.632 0.322  -0.15
N 0.632 0.954 0.322  -0.15

***

> Number 2 is which compound?

Na2Pu2ReN6

***

> Which formula does entry 1 have?

Na3Pu3ReN8

***

> Which value of E_form (uncorrected) does entry 1 give?

-0.578 eV/atom